Entry 1:
A plane-wave DFT calculation with PBE was carried out for a relaxed RePt2 crystal.

abc: 12.679 12.679 12.679
angles: 167.55 167.55 17.64
Atoms (fractional coordinates):
Pt1 0.424 0.424 0.000
Pt2 0.326 0.826 0.500
Re1 0.750 0.250 0.500
Pt3 0.576 0.576 0.000
Pt4 0.174 0.674 0.500
Re2 0.000 0.000 0.000

Values from the calculation:
- DOS(E_F): 4.65 states/eV/cell
- Energy of formation: -0.26 eV per formula unit
- Offset from the most stable computed form: 17 kJ/mol of formula units
- V: 15.78 A^3/atom

---

Entry 2:
A plane-wave DFT calculation with PBE was carried out for a relaxed Re3Pt crystal.

abc: 2.767 9.243 2.767
angles: 98.61 60.00 98.61
Atoms (fractional coordinates):
Re1 0.500 0.500 0.500
Pt1 0.000 0.000 0.000
Re2 0.248 0.745 0.248
Re3 0.752 0.255 0.752

Values from the calculation:
- DOS(E_F): 3.71 states/eV/cell
- Energy of formation: 0.01 eV per formula unit
- V: 15.09 A^3/atom

---

Entry 3:
A plane-wave DFT calculation with PBE was carried out for a relaxed RePt crystal.

abc: 2.778 9.272 2.778
angles: 98.62 60.00 98.62
Atoms (fractional coordinates):
Re1 0.498 0.494 0.498
Pt1 0.248 0.744 0.248
Pt2 0.002 0.006 0.002
Re2 0.752 0.256 0.752

Values from the calculation:
- DOS(E_F): 5.23 states/eV/cell
- Energy of formation: -0.12 eV per formula unit
- Offset from the most stable computed form: 13 kJ/mol of formula units
- V: 15.26 A^3/atom

---

Entry 4:
A plane-wave DFT calculation with PBE was carried out for a relaxed RePt crystal.

abc: 3.993 3.993 5.225
angles: 90.00 90.00 120.00
Atoms (fractional coordinates):
Re1 0.667 0.333 0.750
Pt1 0.000 0.000 0.500
Re2 0.333 0.667 0.250
Pt2 0.000 0.000 0.000

Values from the calculation:
- DOS(E_F): 5.12 states/eV/cell
- Energy of formation: 2.03 eV per formula unit
- Offset from the most stable computed form: 220 kJ/mol of formula units
- V: 18.04 A^3/atom

---

Entry 5:
A plane-wave DFT calculation with PBE was carried out for a relaxed RePt2 crystal.

abc: 2.697 3.920 19.062
angles: 90.00 90.00 90.00
Atoms (fractional coordinates):
Re1 0.000 0.250 0.614
Pt1 0.000 0.250 0.047
Pt2 0.500 0.250 0.453
Pt3 0.000 0.250 0.188
Re2 0.000 0.750 0.386
Pt4 0.500 0.750 0.547
Pt5 0.000 0.750 0.953
Pt6 0.500 0.750 0.688
Re3 0.500 0.750 0.114
Re4 0.500 0.250 0.886
Pt7 0.500 0.250 0.312
Pt8 0.000 0.750 0.812

Values from the calculation:
- DOS(E_F): 11.03 states/eV/cell
- Energy of formation: 0.69 eV per formula unit
- Offset from the most stable computed form: 109 kJ/mol of formula units
- V: 16.79 A^3/atom

---

Entry 6:
A plane-wave DFT calculation with PBE was carried out for a relaxed RePt2 crystal.

abc: 2.789 5.358 6.590
angles: 75.40 90.00 105.09
Atoms (fractional coordinates):
Re1 0.670 0.340 0.670
Pt1 0.329 0.657 0.331
Re2 0.719 0.438 0.053
Pt2 0.008 0.017 0.992
Pt3 0.060 0.121 0.392
Pt4 0.380 0.761 0.730

Values from the calculation:
- DOS(E_F): 4.65 states/eV/cell
- Energy of formation: -0.35 eV per formula unit
- Offset from the most stable computed form: 9 kJ/mol of formula units
- V: 15.30 A^3/atom

---

Entry 7:
A plane-wave DFT calculation with PBE was carried out for a relaxed RePt crystal.

abc: 2.721 6.572 10.868
angles: 90.00 90.00 90.00
Atoms (fractional coordinates):
Re1 0.500 0.295 0.500
Pt1 0.500 0.340 0.000
Re2 0.500 0.984 0.876
Re3 0.500 0.984 0.124
Re4 0.000 0.016 0.376
Re5 0.000 0.016 0.624
Re6 0.000 0.705 0.000
Pt2 0.500 0.322 0.743
Pt3 0.500 0.322 0.257
Pt4 0.000 0.678 0.243
Pt5 0.000 0.678 0.757
Pt6 0.000 0.660 0.500

Values from the calculation:
- DOS(E_F): 9.30 states/eV/cell
- Energy of formation: 0.36 eV per formula unit
- Offset from the most stable computed form: 59 kJ/mol of formula units
- V: 16.19 A^3/atom

---

Entry 8:
A plane-wave DFT calculation with PBE was carried out for a relaxed RePt4 crystal.

abc: 5.758 5.758 4.952
angles: 90.00 90.00 90.00
Atoms (fractional coordinates):
Pt1 0.808 0.366 0.500
Re1 0.000 0.000 0.750
Pt2 0.366 0.192 0.500
Re2 0.000 0.000 0.250
Pt3 0.192 0.634 0.500
Pt4 0.808 0.634 0.000
Pt5 0.366 0.808 0.000
Pt6 0.192 0.366 0.000
Pt7 0.634 0.192 0.000
Pt8 0.634 0.808 0.500

Values from the calculation:
- DOS(E_F): 8.97 states/eV/cell
- Energy of formation: 0.57 eV per formula unit
- Offset from the most stable computed form: 109 kJ/mol of formula units
- V: 16.42 A^3/atom